# InAgRu2 PBE optimized geometry
# Spin magnetization, μB/atom: 0.00
# ΔH_f (0 K), eV per atom: 0.1741
# V, Å³ per atom: 16.7
# Density of states at the Fermi level, states/eV/cell: 2.8
data_InAgRu2
_chemical_formula_sum 'In1 Ag1 Ru2'
_space_group_name_H-M_alt 'P 4 m m'
_space_group_IT_number 99
_space_group_name_Hall 'P 4 -2'
_cell_length_a 2.883
_cell_length_b 2.883
_cell_length_c 8.025
_cell_angle_alpha 90.00
_cell_angle_beta 90.00
_cell_angle_gamma 90.00
loop_
_atom_site_label
_atom_site_type_symbol
_atom_site_fract_x
_atom_site_fract_y
_atom_site_fract_z
In1 In 0.000 0.000 0.000
Ag1 Ag 0.500 0.500 0.716
Ru1 Ru 0.000 0.000 0.454
Ru2 Ru 0.500 0.500 0.256